CsRbPd after structural relaxation. Source: Alexandria, functional PBE-GGA.

Output
- SG: P3m1 (156)
- Magnetization: 0.00 μB per formula unit
- Uncorrected energy: -2.1872 eV per atom

Unit cell a=5.3733 b=5.3733 c=6.3341 alpha=90.00 beta=90.00 gamma=120.00
Last column: nearest neighbours and their distance in Å.
Fractional coordinates of all 3 atoms:
Cs 0.0000 0.0000 0.0892  3 Pd 3.51
Rb 0.3333 0.6667 0.5618  3 Pd 3.38
Pd 0.6667 0.3333 0.3490  3 Rb 3.38, 3 Cs 3.51